*i*
The following is a GGA-PBE calculation of a geometry-optimized AcMnSe3 structure, from the Alexandria database.

Geometry as extended XYZ:
```
10
Lattice="4.175 0.000 0.000 0.000 7.501 0.313 0.000 -1.290 8.252" Properties=species:S:1:pos:R:3 pbc="T T T"
Ac 1.044 2.359 1.823
Ac 3.131 3.851 6.742
Mn 1.044 5.806 3.194
Mn 3.131 0.405 5.370
Se 3.131 4.161 3.542
Se 1.044 2.050 5.023
Se 3.131 0.822 7.812
Se 1.044 6.105 5.716
Se 1.044 5.389 0.752
Se 3.131 0.106 2.848
```

## Properties
The space group is P2_1/m. The mass density comes out at 6625 kg/m³.

---

*ii*
The following is a GGA-PBE calculation of a geometry-optimized AcMnSe3 structure, from the Alexandria database.

Geometry as extended XYZ:
```
20
Lattice="-2.351 -2.979 1.700 6.891 -4.223 2.131 0.338 6.802 12.388" Properties=species:S:1:pos:R:3 pbc="T T T"
Ac 5.770 -2.332 6.437
Ac -0.892 1.933 9.782
Ac 2.607 0.901 12.814
Ac 2.271 -1.300 3.405
Mn 4.136 0.243 8.689
Mn 0.742 -0.642 7.530
Mn 4.055 -5.422 3.735
Mn 0.823 5.022 12.484
Se -0.321 -1.096 5.266
Se 4.281 3.255 14.167
Se -0.430 -0.096 1.781
Se 3.113 -0.254 6.404
Se 0.669 2.017 7.002
Se 1.765 -0.146 9.815
Se 1.779 3.332 10.843
Se 5.308 -0.304 14.438
Se 0.598 -3.654 2.051
Se 3.099 -3.732 5.375
Se 4.210 -2.416 9.217
Se 5.199 0.696 10.953
```

## Properties
The space group is Pnma. The mass density comes out at 7013 kg/m³.

---

The structure with the greatest stability is *ii*.